[1]
A plane-wave DFT calculation with GGA-PBE was carried out for an optimized crystal structure of SrSc3Ir.

a b c (Å): 4.838 4.838 4.838
angles (deg): 90.00 90.00 90.00
Space group Pm-3m (No. 221)
Unique sites:
Sr  0.000  0.000  0.000 (multiplicity 1)
Sc  0.000  0.000  0.500 (multiplicity 3)
Ir  0.500  0.500  0.500 (multiplicity 1)

Values from the calculation:
Density of states at the Fermi level in states/eV per atom: 1.083
Calculated total energy in Ry/atom: -0.3162
Energy of formation from the pure elements in eV per atom: 1.61

[2]
A plane-wave DFT calculation with GGA-PBE was carried out for an optimized crystal structure of Pm2ThSc.

a b c (Å): 4.963 4.963 5.052
angles (deg): 90.00 90.00 90.00
Space group P4/mmm (No. 123)
Unique sites:
Pm  0.000  0.500  0.000 (multiplicity 2)
Th  0.000  0.000  0.500 (multiplicity 1)
Sc  0.500  0.500  0.500 (multiplicity 1)

Values from the calculation:
Density of states at the Fermi level in states/eV per atom: 1.197
Calculated total energy in Ry/atom: -0.4228
Energy of formation from the pure elements in eV per atom: 0.06

[3]
A plane-wave DFT calculation with GGA-PBE was carried out for an optimized crystal structure of Ac2TbCeAs4.

a b c (Å): 7.543 4.364 7.577
angles (deg): 90.00 109.38 90.00
Space group P2/m (No. 10)
Unique sites:
Ac  0.000  0.000  0.000 (multiplicity 1)
Ac  0.500  0.500  0.000 (multiplicity 1)
Tb  0.000  0.500  0.500 (multiplicity 1)
Ce  0.500  0.000  0.500 (multiplicity 1)
As  0.242  0.000  0.728 (multiplicity 2)
As  0.256  0.500  0.272 (multiplicity 2)

Values from the calculation:
Density of states at the Fermi level in states/eV per atom: 0.758
Calculated total energy in Ry/atom: -0.4505
Energy of formation from the pure elements in eV per atom: -1.46

[4]
A plane-wave DFT calculation with GGA-PBE was carried out for an optimized crystal structure of LaSm2Zn.

a b c (Å): 3.6901 3.6901 31.8169
angles (deg): 90.00 90.00 120.00
Space group R3m (No. 160, hexagonal axes)
Unique sites:
La  0.0000  0.0000  0.0000 (multiplicity 3)
Sm  0.0000  0.0000  0.2367 (multiplicity 3)
Sm  0.0000  0.0000  0.4310 (multiplicity 3)
Zn  0.0000  0.0000  0.8342 (multiplicity 3)

Values from the calculation:
Density of states at the Fermi level in states/eV per atom: 1.129
Calculated total energy in Ry/atom: -0.2900
Energy of formation from the pure elements in eV per atom: -0.04

[5]
A plane-wave DFT calculation with GGA-PBE was carried out for an optimized crystal structure of SrYSi3.

a b c (Å): 4.510 24.956 3.943
angles (deg): 90.00 90.00 90.00
Space group Cmcm (No. 63)
Unique sites:
Sr  0.000  0.073  0.250 (multiplicity 4)
Y  0.000  0.203  0.750 (multiplicity 4)
Si  0.000  0.320  0.750 (multiplicity 4)
Si  0.000  0.377  0.250 (multiplicity 4)
Si  0.000  0.474  0.250 (multiplicity 4)

Values from the calculation:
Density of states at the Fermi level in states/eV per atom: 0.524
Calculated total energy in Ry/atom: -0.3982
Formation energy (no corrections) in eV per formula unit: -2.67

[6]
A plane-wave DFT calculation with GGA-PBE was carried out for an optimized crystal structure of NaB3Br.

a b c (Å): 4.403 4.403 4.403
angles (deg): 90.00 90.00 90.00
Space group Pm-3m (No. 221)
Unique sites:
Na  0.000  0.000  0.000 (multiplicity 1)
B  0.000  0.500  0.500 (multiplicity 3)
Br  0.500  0.500  0.500 (multiplicity 1)

Values from the calculation:
Density of states at the Fermi level in states/eV per atom: 0.511
Calculated total energy in Ry/atom: -0.1626
Formation energy (no corrections) in eV per formula unit: 11.96

[7]
A plane-wave DFT calculation with GGA-PBE was carried out for an optimized crystal structure of Tb4Dy4Th3.

a b c (Å): 3.561 5.714 17.652
angles (deg): 99.31 90.01 90.01
Space group P-1 (No. 2)
Unique sites:
Tb  0.000  0.098  0.196 (multiplicity 2)
Tb  0.000  0.280  0.560 (multiplicity 2)
Dy  0.001  0.546  0.092 (multiplicity 2)
Dy  0.500  0.190  0.379 (multiplicity 2)
Th  0.500  0.000  0.000 (multiplicity 1)
Th  0.500  0.369  0.738 (multiplicity 2)

Values from the calculation:
Density of states at the Fermi level in states/eV per atom: 1.658
Calculated total energy in Ry/atom: -0.3912
Energy of formation from the pure elements in eV per atom: 0.06

[8]
A plane-wave DFT calculation with GGA-PBE was carried out for an optimized crystal structure of La8Te4IrSe3.

a b c (Å): 8.8498 8.8498 22.1201
angles (deg): 90.00 90.00 120.00
Space group R-3m (No. 166, hexagonal axes)
Unique sites:
La  0.0000  0.0000  0.2430 (multiplicity 6)
La  0.0153  0.5076  0.2402 (multiplicity 18)
Te  0.0000  0.0000  0.0000 (multiplicity 3)
Te  0.0000  0.5000  0.0000 (multiplicity 9)
Ir  0.0000  0.0000  0.5000 (multiplicity 3)
Se  0.0000  0.5000  0.5000 (multiplicity 9)

Values from the calculation:
Density of states at the Fermi level in states/eV per atom: 0.725
Calculated total energy in Ry/atom: -0.4491
Formation energy (no corrections) in eV per formula unit: -26.48

[9]
A plane-wave DFT calculation with GGA-PBE was carried out for an optimized crystal structure of Al2TcPt.

a b c (Å): 2.8470 2.8470 25.9144
angles (deg): 90.00 90.00 120.00
Space group R3m (No. 160, hexagonal axes)
Unique sites:
Al  0.0000  0.0000  0.0000 (multiplicity 3)
Al  0.0000  0.0000  0.2456 (multiplicity 3)
Tc  0.0000  0.0000  0.4987 (multiplicity 3)
Pt  0.0000  0.0000  0.7451 (multiplicity 3)

Values from the calculation:
Density of states at the Fermi level in states/eV per atom: 0.849
Calculated total energy in Ry/atom: -0.4590
Energy of formation from the pure elements in eV per atom: -0.27

[10]
A plane-wave DFT calculation with GGA-PBE was carried out for an optimized crystal structure of Y2Tc3W.

a b c (Å): 9.282 5.500 5.400
angles (deg): 90.00 124.11 90.00
Space group C2/m (No. 12)
Unique sites:
Y  0.125  0.000  0.375 (multiplicity 4)
Tc  0.000  0.500  0.500 (multiplicity 2)
Tc  0.250  0.250  0.000 (multiplicity 4)
W  0.000  0.500  0.000 (multiplicity 2)

Values from the calculation:
Density of states at the Fermi level in states/eV per atom: 0.859
Calculated total energy in Ry/atom: -0.7059
Energy of formation from the pure elements in eV per atom: -0.11

[11]
A plane-wave DFT calculation with GGA-PBE was carried out for an optimized crystal structure of NaCeTlBr6.

a b c (Å): 7.5593 7.5593 14.0839
angles (deg): 90.00 90.00 120.00
Space group P-31c (No. 163)
Unique sites:
Na  0.3333  0.6667  0.2500 (multiplicity 2)
Ce  0.3333  0.6667  0.7500 (multiplicity 2)
Tl  0.0000  0.0000  0.0000 (multiplicity 2)
Br  0.0203  0.3738  0.6350 (multiplicity 12)

Values from the calculation:
Calculated total energy in Ry/atom: -0.2661
Formation energy (no corrections) in eV per formula unit: -12.93

[12]
A plane-wave DFT calculation with GGA-PBE was carried out for an optimized crystal structure of CaCr3Ga.

a b c (Å): 4.818 4.818 4.818
angles (deg): 90.00 90.00 90.00
Space group Pm-3m (No. 221)
Unique sites:
Ca  0.000  0.000  0.000 (multiplicity 1)
Cr  0.000  0.000  0.500 (multiplicity 3)
Ga  0.500  0.500  0.500 (multiplicity 1)

Values from the calculation:
Density of states at the Fermi level in states/eV per atom: 0.602
Calculated total energy in Ry/atom: -0.3462
Energy of formation from the pure elements in eV per atom: 2.07